Crystalline Er12Cd6Co at its relaxed geometry. Source: Alexandria via LeMat-Bulk, functional PBE.

Lattice parameters (Å, degrees): 8.1418 8.1418 8.1418 94.51 94.51 94.51
Fractional positions:
Er (0.0384, 0.9267, 0.7037)
Er (0.0733, 0.2963, 0.9616)
Er (0.1915, 0.4088, 0.5236)
Er (0.2963, 0.9616, 0.0733)
Er (0.4088, 0.5236, 0.1915)
Er (0.4764, 0.8085, 0.5912)
Er (0.5236, 0.1915, 0.4088)
Er (0.5912, 0.4764, 0.8085)
Er (0.7037, 0.0384, 0.9267)
Er (0.8085, 0.5912, 0.4764)
Er (0.9267, 0.7037, 0.0384)
Er (0.9616, 0.0733, 0.2963)
Cd (0.1517, 0.7596, 0.3604)
Cd (0.2404, 0.6396, 0.8483)
Cd (0.3604, 0.1517, 0.7596)
Cd (0.6396, 0.8483, 0.2404)
Cd (0.7596, 0.3604, 0.1517)
Cd (0.8483, 0.2404, 0.6396)
Co (0.5000, 0.5000, 0.5000)

Summary:
DOS at the Fermi energy ... 17.40 states/eV/f.u.
V ... 534 Å³ per cell
Size of the total moment ... 0.000 μB/f.u.
Calculated total energy ... -3.631 eV/atom
E_form ... -0.086 eV/atom